[1]
# NaHg15

A relaxed structure of NaHg15 (PBE-GGA, Alexandria via LeMat-Bulk).

The calculation puts the formation energy at -0.05 eV per atom. The value obtained for the mass density is 11.48 g/cm³.

The space group is P-6m2 (No. 187) and the conventional cell measures 6.7973, 6.7973 and 10.9645 Å, with angles of 90.00, 90.00 and 120.00 degrees. The distinct sites, in fractional coordinates, are Na at (0.0000, 0.0000, 0.0000), Hg at (0.0000, 0.0000, 0.5000), Hg at (0.0049, 0.5024, 0.0000), Hg at (0.3333, 0.6667, 0.2554), Hg at (0.3339, 0.1670, 0.2468) and Hg at (0.5013, 0.0025, 0.5000).



[2]
# Li2In2Sb

A relaxed structure of Li2In2Sb (PBE-GGA, Alexandria via LeMat-Bulk).

The offset from the most stable computed form comes out at 108 meV/atom. The value obtained for the mass density is 5.14 g/cm³.

The space group is I4/mmm (No. 139) and the conventional cell measures 4.1219, 4.1219 and 13.9029 Å, with angles of 90.00, 90.00 and 90.00 degrees. The distinct sites, in fractional coordinates, are Li at (0.0000, 0.5000, 0.2500), In at (0.0000, 0.0000, 0.1045) and Sb at (0.0000, 0.0000, 0.5000).



[3]
# LaPrAuSe

A relaxed structure of LaPrAuSe (PBE-GGA, Alexandria via LeMat-Bulk).

For the total DFT energy (no corrections), the calculation gives -21.61 eV per cell. The value obtained for the mass density is 7.91 g/cm³.

The space group is P4/mmm (No. 123) and the conventional cell measures 4.3118, 4.3118 and 6.2736 Å, with angles of 90.00, 90.00 and 90.00 degrees. The distinct sites, in fractional coordinates, are La at (0.0000, 0.0000, 0.0000), Pr at (0.5000, 0.5000, 0.5000), Au at (0.5000, 0.5000, 0.0000) and Se at (0.0000, 0.0000, 0.5000).



[4]
# EuGa3Ni2

A relaxed structure of EuGa3Ni2 (PBE-GGA, Alexandria via LeMat-Bulk).

The calculation puts the formation energy at -0.52 eV per atom. The value obtained for the mass density is 7.82 g/cm³.

The space group is Cmcm (No. 63) and the conventional cell measures 10.0278, 7.8661 and 5.1556 Å, with angles of 90.00, 90.00 and 90.00 degrees. The distinct sites, in fractional coordinates, are Eu at (0.0000, 0.1552, 0.2500), Ga at (0.0000, 0.4433, 0.7500), Ga at (0.1901, 0.2206, 0.7500) and Ni at (0.2062, 0.5000, 0.0000).



[5]
# V3ReSb

A relaxed structure of V3ReSb (PBE-GGA, Alexandria via LeMat-Bulk).

The offset from the most stable computed form comes out at 0 meV/atom. The value obtained for the mass density is 7.71 g/cm³.

The space group is Pm-3m (No. 221) and the conventional cell measures 4.6303, 4.6303 and 4.6303 Å, with angles of 90.00, 90.00 and 90.00 degrees. The distinct sites, in fractional coordinates, are V at (0.0000, 0.0000, 0.5000), Re at (0.0000, 0.0000, 0.0000) and Sb at (0.5000, 0.5000, 0.5000).



[6]
# MnZnPdPt

A relaxed structure of MnZnPdPt (PBE-GGA, Alexandria via LeMat-Bulk).

The calculation puts the formation energy at -0.44 eV per atom. The value obtained for the mass density is 11.81 g/cm³.

The space group is Pmmm (No. 47) and the conventional cell measures 3.5459, 4.0749 and 4.1045 Å, with angles of 90.00, 90.00 and 90.00 degrees. The distinct sites, in fractional coordinates, are Mn at (0.0000, 0.0000, 0.0000), Zn at (0.0000, 0.5000, 0.5000), Pd at (0.5000, 0.0000, 0.5000) and Pt at (0.5000, 0.5000, 0.0000).



[7]
# Ac2ErRu3O12

A relaxed structure of Ac2ErRu3O12 (PBE-GGA, Alexandria via LeMat-Bulk).

For the total DFT energy (no corrections), the calculation gives -400.63 eV per cell. The value obtained for the mass density is 7.72 g/cm³.

The space group is R-3m (No. 166, hexagonal axes) and the conventional cell measures 7.2203, 7.2203 and 15.9574 Å, with angles of 90.00, 90.00 and 120.00 degrees. The distinct sites, in fractional coordinates, are Ac at (0.0000, 0.0000, 0.1158), Er at (0.0000, 0.0000, 0.5000), Ru at (0.0000, 0.5000, 0.0000), O at (0.0490, 0.5245, 0.8804) and O at (0.0663, 0.5332, 0.3058).



[8]
# K2TeSe

A relaxed structure of K2TeSe (PBE-GGA, Alexandria via LeMat-Bulk).

The offset from the most stable computed form comes out at 255 meV/atom. The value obtained for the mass density is 3.49 g/cm³.

The space group is Fm-3m (No. 225) and the conventional cell measures 8.1494, 8.1494 and 8.1494 Å, with angles of 90.00, 90.00 and 90.00 degrees. The distinct sites, in fractional coordinates, are K at (0.2500, 0.2500, 0.2500), Te at (0.0000, 0.0000, 0.0000) and Se at (0.0000, 0.0000, 0.5000).



[9]
# PuAg2TeO6

A relaxed structure of PuAg2TeO6 (PBE-GGA, Alexandria via LeMat-Bulk).

For the total DFT energy (no corrections), the calculation gives -64.90 eV per cell. The value obtained for the mass density is 7.83 g/cm³.

The space group is P4mm (No. 99) and the conventional cell measures 5.9029, 5.9029 and 4.1600 Å, with angles of 90.00, 90.00 and 90.00 degrees. The distinct sites, in fractional coordinates, are Pu at (0.0000, 0.0000, 0.0000), Ag at (0.0000, 0.5000, 0.4493), Te at (0.5000, 0.5000, 0.9913), O at (0.0000, 0.0000, 0.5017), O at (0.2559, 0.2559, 0.0095) and O at (0.5000, 0.5000, 0.5059).



[10]
# Ca2TbCeS4

A relaxed structure of Ca2TbCeS4 (PBE-GGA, Alexandria via LeMat-Bulk).

For the total DFT energy (no corrections), the calculation gives -47.36 eV per cell. The value obtained for the mass density is 4.62 g/cm³.

The space group is P2/m (No. 10) and the conventional cell measures 6.9020, 3.9826 and 7.0183 Å, with angles of 90.00, 109.10 and 90.00 degrees. The distinct sites, in fractional coordinates, are Ca at (0.0000, 0.0000, 0.0000), Ca at (0.5000, 0.5000, 0.0000), Tb at (0.0000, 0.5000, 0.5000), Ce at (0.5000, 0.0000, 0.5000), S at (0.2438, 0.5000, 0.2469) and S at (0.2446, 0.0000, 0.7485).



[11]
# LaZr2Al

A relaxed structure of LaZr2Al (PBE-GGA, Alexandria via LeMat-Bulk).

The calculation puts the formation energy at -0.01 eV per atom. The value obtained for the mass density is 6.09 g/cm³.

The space group is Cm (No. 8) and the conventional cell measures 10.7305, 3.2694 and 5.4912 Å, with angles of 90.00, 99.56 and 90.00 degrees. The distinct sites, in fractional coordinates, are La at (0.0000, 0.0000, 0.0000), Zr at (0.2264, 0.0000, 0.7380), Zr at (0.4739, 0.0000, 0.4766) and Al at (0.2436, 0.5000, 0.2759).



[12]
# BaCo2Sb

A relaxed structure of BaCo2Sb (PBE-GGA, Alexandria via LeMat-Bulk).

For the total DFT energy (no corrections), the calculation gives -38.18 eV per cell. The value obtained for the mass density is 6.02 g/cm³.

The space group is Imm2 (No. 44) and the conventional cell measures 4.0945, 6.2554 and 8.1154 Å, with angles of 90.00, 90.00 and 90.00 degrees. The distinct sites, in fractional coordinates, are Ba at (0.0000, 0.0000, 0.0000), Co at (0.0000, 0.0000, 0.5166), Co at (0.0000, 0.5000, 0.1473) and Sb at (0.0000, 0.5000, 0.8280).



[13]
# TbTe

A relaxed structure of TbTe (PBE-GGA, Alexandria via LeMat-Bulk).

For the total DFT energy (no corrections), the calculation gives -41.54 eV per cell. The value obtained for the mass density is 8.05 g/cm³.

The space group is Fm-3m (No. 225) and the conventional cell measures 6.1831, 6.1831 and 6.1831 Å, with angles of 90.00, 90.00 and 90.00 degrees. The distinct sites, in fractional coordinates, are Tb at (0.0000, 0.0000, 0.0000) and Te at (0.0000, 0.0000, 0.5000).



[14]
# NaPm2USe4

A relaxed structure of NaPm2USe4 (PBE-GGA, Alexandria via LeMat-Bulk).

For the total DFT energy (no corrections), the calculation gives -48.22 eV per cell. The value obtained for the mass density is 7.00 g/cm³.

The space group is P2/m (No. 10) and the conventional cell measures 7.2323, 4.1414 and 7.2640 Å, with angles of 90.00, 109.05 and 90.00 degrees. The distinct sites, in fractional coordinates, are Na at (0.0000, 0.0000, 0.0000), Pm at (0.5000, 0.0000, 0.5000), Pm at (0.5000, 0.5000, 0.0000), U at (0.0000, 0.5000, 0.5000), Se at (0.2436, 0.0000, 0.7478) and Se at (0.2467, 0.5000, 0.2515).



[15]
# CeEuAgPt

A relaxed structure of CeEuAgPt (PBE-GGA, Alexandria via LeMat-Bulk).

The calculation puts the formation energy at -0.55 eV per atom. The value obtained for the mass density is 10.11 g/cm³.

The space group is F-43m (No. 216) and the conventional cell measures 7.3108, 7.3108 and 7.3108 Å, with angles of 90.00, 90.00 and 90.00 degrees. The distinct sites, in fractional coordinates, are Ce at (0.0000, 0.0000, 0.0000), Eu at (0.0000, 0.0000, 0.5000), Ag at (0.2500, 0.2500, 0.7500) and Pt at (0.2500, 0.2500, 0.2500).



[16]
# BaVHg3

A relaxed structure of BaVHg3 (PBE-GGA, Alexandria via LeMat-Bulk).

The offset from the most stable computed form comes out at 0 meV/atom. The calculation puts the formation energy at 0.00 eV per atom. The value obtained for the mass density is 8.51 g/cm³.

The space group is Pm-3m (No. 221) and the conventional cell measures 5.3618, 5.3618 and 5.3618 Å, with angles of 90.00, 90.00 and 90.00 degrees. The distinct sites, in fractional coordinates, are Ba at (0.0000, 0.0000, 0.0000), V at (0.5000, 0.5000, 0.5000) and Hg at (0.0000, 0.5000, 0.5000).



[17]
# CaEuSe2

A relaxed structure of CaEuSe2 (PBE-GGA, Alexandria via LeMat-Bulk).

For the total DFT energy (no corrections), the calculation gives -81.99 eV per cell. The value obtained for the mass density is 5.24 g/cm³.

The space group is R-3m (No. 166, hexagonal axes) and the conventional cell measures 4.2812, 4.2812 and 20.9632 Å, with angles of 90.00, 90.00 and 120.00 degrees. The distinct sites, in fractional coordinates, are Ca at (0.0000, 0.0000, 0.0000), Eu at (0.0000, 0.0000, 0.5000) and Se at (0.0000, 0.0000, 0.2525).



[18]
# PmGa7Co5

A relaxed structure of PmGa7Co5 (PBE-GGA, Alexandria via LeMat-Bulk).

The calculation puts the formation energy at -0.33 eV per atom. The value obtained for the mass density is 8.29 g/cm³.

The space group is Imm2 (No. 44) and the conventional cell measures 5.1060, 8.5999 and 8.4609 Å, with angles of 90.00, 90.00 and 90.00 degrees. The distinct sites, in fractional coordinates, are Pm at (0.0000, 0.0000, 0.0000), Ga at (0.0000, 0.0000, 0.3364), Ga at (0.0000, 0.0000, 0.6517), Ga at (0.0000, 0.2974, 0.5106), Ga at (0.0000, 0.3425, 0.9731), Ga at (0.0000, 0.5000, 0.2613), Co at (0.0000, 0.5000, 0.7275) and Co at (0.2379, 0.2568, 0.2454).



[19]
# Pu3Al2Hg4

A relaxed structure of Pu3Al2Hg4 (PBE-GGA, Alexandria via LeMat-Bulk).

The calculation puts the formation energy at -0.14 eV per atom. The value obtained for the mass density is 12.83 g/cm³.

The space group is C2/m (No. 12) and the conventional cell measures 10.7697, 4.9793 and 9.1682 Å, with angles of 90.00, 123.27 and 90.00 degrees. The distinct sites, in fractional coordinates, are Pu at (0.0000, 0.0000, 0.0000), Pu at (0.1669, 0.5000, 0.6693), Al at (0.1105, 0.5000, 0.2797), Hg at (0.0711, 0.0000, 0.3981) and Hg at (0.2035, 0.5000, 0.0451).



[20]
# Na3Np2CuS6

A relaxed structure of Na3Np2CuS6 (PBE-GGA, Alexandria via LeMat-Bulk).

For the total DFT energy (no corrections), the calculation gives -144.41 eV per cell. The value obtained for the mass density is 5.10 g/cm³.

The space group is C2/m (No. 12) and the conventional cell measures 6.7200, 11.6374 and 7.0193 Å, with angles of 90.00, 108.53 and 90.00 degrees. The distinct sites, in fractional coordinates, are Na at (0.0000, 0.0000, 0.0000), Na at (0.0000, 0.3365, 0.0000), Np at (0.0000, 0.1669, 0.5000), Cu at (0.0000, 0.5000, 0.5000), S at (0.2404, 0.3336, 0.7222) and S at (0.2412, 0.0000, 0.7213).



Calculated DOS at the Fermi energy, 3.7; 2.7; 5.4; 37.5; 7.2; 1.0; 34.0; 19.1; 6.3; 7.3; 9.6; 6.1; 6.0; 6.3; 44.1; 4.1; 37.9; 18.0; 61.4; 25.7 states/eV per cell (same order as the records).
Calculated total magnetic moment, 0.00; 0.00; 0.00; 6.99; 1.57; 4.60; 6.14; 1.33; 3.02; 1.37; 0.00; 2.86; 0.00; 3.08; 7.99; 3.35; 7.00; 0.34; 6.03; 6.00 μB/f.u. (same order as the records).